# PmTl2SnSe4 GGA-PBE optimized geometry
# Symmetry: P2/m
# Raw total energy: -4.296 eV/atom
# ΔE_f (raw): -670.3 kJ/mol of formula units
# Total moment: 0.00 μB per atom
data_PmTl2SnSe4
_cell_length_a 4.200
_cell_length_b 8.048
_cell_length_c 7.457
_cell_angle_alpha 72.24
_cell_angle_beta 90.00
_cell_angle_gamma 90.00
_space_group_name_H-M_alt 'P 1'
_space_group_IT_number 1
_space_group_name_Hall 'P 1'
loop_
_atom_site_label
_atom_site_fract_x
_atom_site_fract_y
_atom_site_fract_z
_atom_site_occupancy
Pm1 0.000 0.500 0.500 1
Tl1 0.000 0.000 0.000 1
Tl2 0.500 0.000 0.500 1
Sn1 0.500 0.500 0.000 1
Se1 0.000 0.711 0.765 1
Se2 0.000 0.289 0.235 1
Se3 0.500 0.709 0.259 1
Se4 0.500 0.291 0.741 1

=====

# La2As4RuPt3 GGA-PBE optimized geometry
# Symmetry: P-4m2
# Calculated formation energy: -888.0 meV per atom
# Raw total energy: -6.473 eV/atom
# Total moment: 0.04 μB per atom
data_La2As4RuPt3
_cell_length_a 4.375
_cell_length_b 4.375
_cell_length_c 10.286
_cell_angle_alpha 90.00
_cell_angle_beta 90.00
_cell_angle_gamma 90.00
_space_group_name_H-M_alt 'P 1'
_space_group_IT_number 1
_space_group_name_Hall 'P 1'
loop_
_atom_site_label
_atom_site_fract_x
_atom_site_fract_y
_atom_site_fract_z
_atom_site_occupancy
La1 0.500 0.000 0.251 1
La2 0.000 0.500 0.749 1
As1 0.500 0.500 0.000 1
As2 0.000 0.000 0.000 1
As3 0.500 0.000 0.632 1
As4 0.000 0.500 0.368 1
Ru1 0.500 0.500 0.500 1
Pt1 0.000 0.000 0.500 1
Pt2 0.500 0.000 0.875 1
Pt3 0.000 0.500 0.125 1

=====

# Pm12SmRh4 GGA-PBE optimized geometry
# Symmetry: Im-3
# Calculated formation energy: -236.0 meV per atom
# Raw total energy: -5.597 eV/atom
# Total moment: 0.00 μB per atom
data_Pm12SmRh4
_cell_length_a 9.004
_cell_length_b 9.004
_cell_length_c 9.004
_cell_angle_alpha 109.47
_cell_angle_beta 109.47
_cell_angle_gamma 109.47
_space_group_name_H-M_alt 'P 1'
_space_group_IT_number 1
_space_group_name_Hall 'P 1'
loop_
_atom_site_label
_atom_site_fract_x
_atom_site_fract_y
_atom_site_fract_z
_atom_site_occupancy
Pm1 0.826 0.316 0.142 1
Pm2 0.316 0.490 0.174 1
Pm3 0.858 0.174 0.684 1
Pm4 0.316 0.142 0.826 1
Pm5 0.142 0.826 0.316 1
Pm6 0.684 0.510 0.826 1
Pm7 0.490 0.174 0.316 1
Pm8 0.510 0.826 0.684 1
Pm9 0.684 0.858 0.174 1
Pm10 0.826 0.684 0.510 1
Pm11 0.174 0.316 0.490 1
Pm12 0.174 0.684 0.858 1
Sm1 0.000 0.000 0.000 1
Rh1 0.000 0.500 0.000 1
Rh2 0.500 0.000 0.000 1
Rh3 0.500 0.500 0.500 1
Rh4 0.000 0.000 0.500 1

=====

# SiNi2W GGA-PBE optimized geometry
# Symmetry: Pm
# Raw total energy: -7.666 eV/atom
# ΔE_f (raw): -69.8 kJ/mol of formula units
# Total moment: 0.00 μB per atom
data_SiNi2W
_cell_length_a 3.780
_cell_length_b 2.693
_cell_length_c 5.121
_cell_angle_alpha 74.71
_cell_angle_beta 90.00
_cell_angle_gamma 90.00
_space_group_name_H-M_alt 'P 1'
_space_group_IT_number 1
_space_group_name_Hall 'P 1'
loop_
_atom_site_label
_atom_site_fract_x
_atom_site_fract_y
_atom_site_fract_z
_atom_site_occupancy
Ni1 0.000 0.053 0.017 1
Ni2 0.500 0.437 0.249 1
Si1 0.000 0.320 0.489 1
W1 0.500 0.690 0.745 1

=====

# TaTeCl GGA-PBE optimized geometry
# Offset from the most stable computed form: 231.0 meV/atom
# Symmetry: P3m1
# Raw total energy: -6.116 eV/atom
# ΔE_f (raw): -145.3 kJ/mol of formula units
# Total moment: 0.00 μB per atom
data_TaTeCl
_cell_length_a 3.401
_cell_length_b 3.401
_cell_length_c 7.831
_cell_angle_alpha 90.00
_cell_angle_beta 90.00
_cell_angle_gamma 120.00
_space_group_name_H-M_alt 'P 1'
_space_group_IT_number 1
_space_group_name_Hall 'P 1'
loop_
_atom_site_label
_atom_site_fract_x
_atom_site_fract_y
_atom_site_fract_z
_atom_site_occupancy
Cl1 0.000 0.000 0.105 1
Ta1 0.333 0.667 0.322 1
Te1 0.667 0.333 0.573 1

=====

# Cs3Ca2TlBr9 GGA-PBE optimized geometry
# Symmetry: P-3m1
# Raw total energy: -3.247 eV/atom
# ΔE_f (raw): -2384.7 kJ/mol of formula units
# Total moment: 0.00 μB per atom
data_Cs3Ca2TlBr9
_cell_length_a 8.238
_cell_length_b 8.238
_cell_length_c 10.102
_cell_angle_alpha 90.00
_cell_angle_beta 90.00
_cell_angle_gamma 120.00
_space_group_name_H-M_alt 'P 1'
_space_group_IT_number 1
_space_group_name_Hall 'P 1'
loop_
_atom_site_label
_atom_site_fract_x
_atom_site_fract_y
_atom_site_fract_z
_atom_site_occupancy
Cs1 0.333 0.667 0.658 1
Cs2 0.000 0.000 0.000 1
Cs3 0.667 0.333 0.342 1
Ca1 0.333 0.667 0.160 1
Ca2 0.667 0.333 0.840 1
Tl1 0.000 0.000 0.500 1
Br1 0.829 0.171 0.668 1
Br2 0.829 0.658 0.668 1
Br3 0.342 0.171 0.668 1
Br4 0.658 0.829 0.332 1
Br5 0.171 0.342 0.332 1
Br6 0.171 0.829 0.332 1
Br7 0.500 0.000 0.000 1
Br8 0.000 0.500 0.000 1
Br9 0.500 0.500 0.000 1

=====

# BaYSc GGA-PBE optimized geometry
# Offset from the most stable computed form: 85.2 meV/atom
# Symmetry: I4mm
# Calculated formation energy: 256.1 meV per atom
# Raw total energy: -4.650 eV/atom
# Total moment: 0.06 μB per atom
data_BaYSc
_cell_length_a 8.126
_cell_length_b 8.124
_cell_length_c 8.124
_cell_angle_alpha 153.10
_cell_angle_beta 153.10
_cell_angle_gamma 38.41
_space_group_name_H-M_alt 'P 1'
_space_group_IT_number 1
_space_group_name_Hall 'P 1'
loop_
_atom_site_label
_atom_site_fract_x
_atom_site_fract_y
_atom_site_fract_z
_atom_site_occupancy
Ba1 0.994 0.994 0.000 1
Sc1 0.318 0.318 0.000 1
Y1 0.688 0.688 0.000 1

=====

# Ac3Dy GGA-PBE optimized geometry
# Symmetry: P6_3/mmc
# Calculated formation energy: 51.5 meV per atom
# Raw total energy: -4.180 eV/atom
# Total moment: 0.00 μB per atom
data_Ac3Dy
_cell_length_a 6.263
_cell_length_b 7.842
_cell_length_c 7.842
_cell_angle_alpha 60.00
_cell_angle_beta 90.00
_cell_angle_gamma 90.00
_space_group_name_H-M_alt 'P 1'
_space_group_IT_number 1
_space_group_name_Hall 'P 1'
loop_
_atom_site_label
_atom_site_fract_x
_atom_site_fract_y
_atom_site_fract_z
_atom_site_occupancy
Ac1 0.250 0.830 0.339 1
Ac2 0.250 0.830 0.830 1
Ac3 0.250 0.339 0.830 1
Ac4 0.750 0.170 0.661 1
Ac5 0.750 0.170 0.170 1
Ac6 0.750 0.661 0.170 1
Dy1 0.750 0.667 0.667 1
Dy2 0.250 0.333 0.333 1

=====

# TaTl3Pb2Se6 GGA-PBE optimized geometry
# Symmetry: C2/m
# Raw total energy: -4.507 eV/atom
# ΔE_f (raw): -657.0 kJ/mol of formula units
# Total moment: 0.00 μB per atom
data_TaTl3Pb2Se6
_cell_length_a 7.372
_cell_length_b 7.372
_cell_length_c 7.840
_cell_angle_alpha 98.95
_cell_angle_beta 98.95
_cell_angle_gamma 119.52
_space_group_name_H-M_alt 'P 1'
_space_group_IT_number 1
_space_group_name_Hall 'P 1'
loop_
_atom_site_label
_atom_site_fract_x
_atom_site_fract_y
_atom_site_fract_z
_atom_site_occupancy
Ta1 0.000 0.000 0.000 1
Tl1 0.170 0.830 0.500 1
Tl2 0.830 0.170 0.500 1
Tl3 0.500 0.500 0.500 1
Pb1 0.334 0.666 0.000 1
Pb2 0.666 0.334 0.000 1
Se1 0.932 0.643 0.797 1
Se2 0.782 0.782 0.211 1
Se3 0.068 0.357 0.203 1
Se4 0.643 0.932 0.797 1
Se5 0.218 0.218 0.789 1
Se6 0.357 0.068 0.203 1

=====

# Sm4HoRh5 GGA-PBE optimized geometry
# Symmetry: P4/mmm
# Calculated formation energy: -745.0 meV per atom
# Raw total energy: -6.766 eV/atom
# Total moment: 0.00 μB per atom
data_Sm4HoRh5
_cell_length_a 3.454
_cell_length_b 3.454
_cell_length_c 17.701
_cell_angle_alpha 90.00
_cell_angle_beta 90.00
_cell_angle_gamma 90.00
_space_group_name_H-M_alt 'P 1'
_space_group_IT_number 1
_space_group_name_Hall 'P 1'
loop_
_atom_site_label
_atom_site_fract_x
_atom_site_fract_y
_atom_site_fract_z
_atom_site_occupancy
Sm1 0.000 0.000 0.197 1
Sm2 0.000 0.000 0.399 1
Sm3 0.000 0.000 0.601 1
Sm4 0.000 0.000 0.803 1
Ho1 0.000 0.000 0.000 1
Rh1 0.500 0.500 0.095 1
Rh2 0.500 0.500 0.298 1
Rh3 0.500 0.500 0.500 1
Rh4 0.500 0.500 0.702 1
Rh5 0.500 0.500 0.905 1

=====

# K2ScOsRu GGA-PBE optimized geometry
# Symmetry: P4/mmm
# Calculated formation energy: 1607.4 meV per atom
# Raw total energy: -4.199 eV/atom
# Total moment: 0.00 μB per atom
data_K2ScOsRu
_cell_length_a 5.585
_cell_length_b 4.704
_cell_length_c 5.585
_cell_angle_alpha 90.00
_cell_angle_beta 90.00
_cell_angle_gamma 90.00
_space_group_name_H-M_alt 'P 1'
_space_group_IT_number 1
_space_group_name_Hall 'P 1'
loop_
_atom_site_label
_atom_site_fract_x
_atom_site_fract_y
_atom_site_fract_z
_atom_site_occupancy
Sc1 0.500 0.500 0.500 1
Ru1 0.000 0.000 0.000 1
K1 0.000 0.000 0.500 1
K2 0.500 0.000 0.000 1
Os1 0.000 0.500 0.000 1